# 1
{"formula": "Cd3PbW", "functional": "SCAN", "state": "single point on PBEsol structure", "cell": [[-3.421, 2.288, 3.170], [2.213, -2.338, 4.077], [3.223, 4.035, 0.565]], "species": ["Pb", "W", "Cd", "Cd", "Cd"], "frac_coords": [[0.500, 0.500, 0.500], [0.000, 0.000, 0.000], [0.000, 0.500, 0.000], [0.000, 0.000, 0.500], [0.500, 0.000, 0.000]]}

# 2
{"formula": "CdPbW2", "functional": "SCAN", "state": "single point on PBEsol structure", "cell": [[-0.397, 0.348, -2.847], [-4.685, -2.344, 1.024], [0.564, 5.300, 1.714]], "species": ["Cd", "Pb", "W", "W"], "frac_coords": [[0.500, 0.000, 0.000], [0.000, 0.500, 0.000], [0.000, 0.000, 0.500], [0.500, 0.500, 0.500]]}

# 3
{"formula": "CdPb3W", "functional": "SCAN", "state": "single point on PBEsol structure", "cell": [[5.428, 0.000, 0.000], [0.000, 5.428, 0.000], [0.000, 0.000, 5.428]], "species": ["Pb", "Pb", "Pb", "W", "Cd"], "frac_coords": [[0.000, 0.500, 0.000], [0.000, 0.000, 0.500], [0.500, 0.000, 0.000], [0.500, 0.500, 0.500], [0.000, 0.000, 0.000]]}

# 4
{"formula": "Y2CdPb", "functional": "SCAN", "state": "single point on PBEsol structure", "cell": [[-2.734, 0.396, 3.098], [3.240, -2.109, 3.129], [1.873, 4.479, 1.080]], "species": ["Pb", "Y", "Y", "Cd"], "frac_coords": [[0.500, 0.000, 0.000], [0.000, 0.000, 0.500], [0.000, 0.500, 0.000], [0.500, 0.500, 0.500]]}

# 5
{"formula": "YCdPb2", "functional": "SCAN", "state": "single point on PBEsol structure", "cell": [[4.583, 0.000, 0.000], [0.000, 4.583, 0.000], [-2.291, -2.291, 4.924]], "species": ["Pb", "Pb", "Y", "Cd"], "frac_coords": [[0.250, 0.750, 0.500], [0.750, 0.250, 0.500], [0.500, 0.500, 0.000], [0.000, 0.000, 0.000]]}

# 6
{"formula": "YCdPb", "functional": "SCAN", "state": "single point on PBEsol structure", "cell": [[3.664, 0.000, 0.000], [0.000, 4.885, 0.000], [0.000, -2.443, 4.231]], "species": ["Cd", "Pb", "Y"], "frac_coords": [[0.942, 0.000, 0.000], [0.732, 0.333, 0.667], [0.326, 0.667, 0.333]]}

# 7
{"formula": "YCdPb2", "functional": "SCAN", "state": "single point on PBEsol structure", "cell": [[-0.214, 3.311, -0.843], [-1.847, -1.847, -5.306], [-3.969, -0.622, 4.777]], "species": ["Cd", "Pb", "Pb", "Y"], "frac_coords": [[0.000, 0.500, 0.000], [0.000, 0.000, 0.500], [0.500, 0.500, 0.500], [0.500, 0.000, 0.000]]}

# 8
{"formula": "Y2CdPb", "functional": "SCAN", "state": "single point on PBEsol structure", "cell": [[3.695, 0.000, 0.000], [0.000, 4.624, 0.000], [0.000, 0.000, 6.381]], "species": ["Cd", "Pb", "Y", "Y"], "frac_coords": [[0.000, 0.000, 0.471], [0.500, 0.500, 0.770], [0.000, 0.000, 0.978], [0.500, 0.500, 0.281]]}

# 9
{"formula": "Y2CdPb", "functional": "SCAN", "state": "single point on PBEsol structure", "cell": [[-4.432, -0.940, -1.928], [4.327, -2.008, -2.681], [0.833, -4.832, 0.442]], "species": ["Pb", "Y", "Y", "Cd"], "frac_coords": [[0.000, 0.000, 0.000], [0.250, 0.500, 0.250], [0.750, 0.500, 0.750], [0.500, 0.000, 0.500]]}

# 10
{"formula": "Y2CdPb2", "functional": "SCAN", "state": "single point on PBEsol structure", "cell": [[-4.091, -0.091, 1.724], [-2.283, -4.744, -5.667], [1.957, -6.107, 4.324]], "species": ["Pb", "Pb", "Pb", "Pb", "Y", "Y", "Y", "Y", "Cd", "Cd"], "frac_coords": [[0.000, 0.365, 0.865], [0.000, 0.865, 0.635], [0.000, 0.635, 0.135], [0.000, 0.135, 0.365], [0.500, 0.173, 0.673], [0.500, 0.673, 0.827], [0.500, 0.827, 0.327], [0.500, 0.327, 0.173], [0.000, 0.000, 0.000], [0.000, 0.500, 0.500]]}

# 11
{"formula": "YCdPb", "functional": "SCAN", "state": "single point on PBEsol structure", "cell": [[5.011, 0.000, 0.000], [2.506, 4.340, 0.000], [2.506, 1.447, 4.091]], "species": ["Cd", "Pb", "Y"], "frac_coords": [[0.000, 0.000, 0.000], [0.500, 0.500, 0.500], [0.750, 0.750, 0.750]]}

# 12
{"formula": "YCdPb2", "functional": "SCAN", "state": "single point on PBEsol structure", "cell": [[4.426, 0.000, 0.000], [0.000, 4.426, 0.000], [-2.213, -2.213, 5.202]], "species": ["Pb", "Pb", "Y", "Cd"], "frac_coords": [[0.000, 0.000, 0.000], [0.750, 0.250, 0.500], [0.500, 0.500, 0.000], [0.250, 0.750, 0.500]]}

Total DFT energy (no corrections) for the records above, in order: -46.190; -60.327; -63.853; -41.083; -52.843; -45.147; -52.726; -40.848; -41.071; -48.148; -44.925; -52.879 eV/atom